A plane-wave DFT calculation with PBE-GGA was carried out for BeCu2Re after structural relaxation.

Cell and atoms, written as CIF:
```
data_BeCu2Re
_chemical_formula_sum 'Be1 Cu2 Re1'
_cell_length_a 2.630
_cell_length_b 2.630
_cell_length_c 6.786
_cell_angle_alpha 90.00
_cell_angle_beta 90.00
_cell_angle_gamma 90.00
_space_group_name_H-M_alt 'P 4 m m'
_space_group_IT_number 99
loop_
_space_group_symop_operation_xyz
'x,y,z'
'-y,x,z'
'-x,-y,z'
'y,-x,z'
'-x,y,z'
'y,x,z'
'x,-y,z'
'-y,-x,z'
loop_
_atom_site_label
_atom_site_type_symbol
_atom_site_fract_x
_atom_site_fract_y
_atom_site_fract_z
Be1 Be 0.000 0.000 0.000
Cu1 Cu 0.000 0.000 0.464
Cu2 Cu 0.500 0.500 0.202
Re1 Re 0.500 0.500 0.751
```

Properties
The value obtained for the uncorrected energy is -6.003 eV per atom. For the theoretical density, the calculation gives 11.4 Mg/m³.

***

A plane-wave DFT calculation with PBE-GGA was carried out for BeCuRe2 after structural relaxation.

Cell and atoms, written as CIF:
```
data_BeCuRe2
_chemical_formula_sum 'Be4 Cu4 Re8'
_cell_length_a 3.603
_cell_length_b 3.603
_cell_length_c 17.718
_cell_angle_alpha 90.00
_cell_angle_beta 90.00
_cell_angle_gamma 90.00
_space_group_name_H-M_alt 'I -4 2 d'
_space_group_IT_number 122
_space_group_name_Hall 'I -4 2bw'
loop_
_atom_site_label
_atom_site_type_symbol
_atom_site_fract_x
_atom_site_fract_y
_atom_site_fract_z
Be1 Be 0.000 0.000 0.000
Cu1 Cu 0.000 0.000 0.500
Re1 Re 0.229 0.250 0.125
```

Properties
The value obtained for the uncorrected energy is -7.498 eV per atom. For the theoretical density, the calculation gives 12.8 Mg/m³.

***

A plane-wave DFT calculation with PBE-GGA was carried out for BeCu2Re after structural relaxation.

Cell and atoms, written as CIF:
```
data_BeCu2Re
_chemical_formula_sum 'Be4 Cu8 Re4'
_cell_length_a 3.332
_cell_length_b 3.332
_cell_length_c 17.974
_cell_angle_alpha 90.00
_cell_angle_beta 90.00
_cell_angle_gamma 90.00
_space_group_name_H-M_alt 'I -4 2 d'
_space_group_IT_number 122
_space_group_name_Hall 'I -4 2bw'
loop_
_atom_site_label
_atom_site_type_symbol
_atom_site_fract_x
_atom_site_fract_y
_atom_site_fract_z
Be1 Be 0.000 0.000 0.000
Cu1 Cu 0.243 0.250 0.125
Re1 Re 0.000 0.000 0.500
```

Properties
The value obtained for the uncorrected energy is -5.561 eV per atom. For the theoretical density, the calculation gives 10.7 Mg/m³.

***

A plane-wave DFT calculation with PBE-GGA was carried out for Be2CuRe after structural relaxation.

Cell and atoms, written as CIF:
```
data_Be2CuRe
_chemical_formula_sum 'Be4 Cu2 Re2'
_cell_length_a 8.925
_cell_length_b 2.656
_cell_length_c 4.353
_cell_angle_alpha 90.00
_cell_angle_beta 119.07
_cell_angle_gamma 90.00
_space_group_name_H-M_alt 'C 1 2/m 1'
_space_group_IT_number 12
loop_
_space_group_symop_operation_xyz
'x,y,z'
'-x,-y,-z'
'-x,y,-z'
'x,-y,z'
'x+1/2,y+1/2,z'
'-x+1/2,-y+1/2,-z'
'-x+1/2,y+1/2,-z'
'x+1/2,-y+1/2,z'
loop_
_atom_site_label
_atom_site_type_symbol
_atom_site_fract_x
_atom_site_fract_y
_atom_site_fract_z
Be1 Be 0.234 0.000 0.233
Cu1 Cu 0.000 0.500 0.000
Re1 Re 0.000 0.000 0.500
```

Properties
The value obtained for the uncorrected energy is -5.817 eV per atom. The relative energy among the computed polymorphs comes out at 0.95 eV per formula unit. For the theoretical density, the calculation gives 9.9 Mg/m³.

***

Q: Which of these has the highest uncorrected energy?
A: number 3

***

Q: Number 2 is which compound?
A: BeCuRe2

***

Q: Which of these has the highest uncorrected energy?
A: number 3

***

Repeat the second record exactly.
A plane-wave DFT calculation with PBE-GGA was carried out for BeCuRe2 after structural relaxation.

Cell and atoms, written as CIF:
```
data_BeCuRe2
_chemical_formula_sum 'Be4 Cu4 Re8'
_cell_length_a 3.603
_cell_length_b 3.603
_cell_length_c 17.718
_cell_angle_alpha 90.00
_cell_angle_beta 90.00
_cell_angle_gamma 90.00
_space_group_name_H-M_alt 'I -4 2 d'
_space_group_IT_number 122
_space_group_name_Hall 'I -4 2bw'
loop_
_atom_site_label
_atom_site_type_symbol
_atom_site_fract_x
_atom_site_fract_y
_atom_site_fract_z
Be1 Be 0.000 0.000 0.000
Cu1 Cu 0.000 0.000 0.500
Re1 Re 0.229 0.250 0.125
```

Properties
The value obtained for the uncorrected energy is -7.498 eV per atom. For the theoretical density, the calculation gives 12.8 Mg/m³.